Run one
CuB4Au | PBE | relaxed

POSCAR file:
```
CuB4Au
1.0
2.997 0.000 0.000
-1.498 2.595 0.000
0.000 0.000 7.587
Cu B Au
1 4 1
direct
0.000 0.000 0.000 Cu
0.333 0.667 0.215 B
0.333 0.667 0.785 B
0.667 0.333 0.215 B
0.667 0.333 0.785 B
0.000 0.000 0.500 Au
```

**Symmetry**: P6/mmm (191)
**Theoretical density**: 8.55 g cm⁻³

Run two
CuB4Au | PBE | relaxed

POSCAR file:
```
CuB4Au
1.0
-1.422 2.711 3.824
1.422 -2.711 3.824
1.422 2.711 -3.824
Cu B Au
1 4 1
direct
0.000 0.000 0.000 Cu
0.081 0.737 0.344 B
0.393 0.737 0.656 B
0.607 0.263 0.344 B
0.919 0.263 0.656 B
0.500 0.500 0.000 Au
```

**Symmetry**: Immm (71)
**Theoretical density**: 8.55 g cm⁻³

Of them, run one has the highest stability.

Run one
LuCuBAu | PBE | relaxed

POSCAR file:
```
LuCuBAu
1.0
0.000 3.155 3.155
3.155 0.000 3.155
3.155 3.155 0.000
Lu Cu B Au
1 1 1 1
direct
0.000 0.000 0.000 Lu
0.750 0.750 0.750 Cu
0.500 0.500 0.500 B
0.250 0.250 0.250 Au
```

**Symmetry**: F-43m (216)
**Total moment**: 0.00 μB per formula unit
**Theoretical density**: 11.80 g cm⁻³

Run two
LuCuBAu | PBE | relaxed

POSCAR file:
```
LuCuBAu
1.0
0.000 3.103 3.103
3.103 0.000 3.103
3.103 3.103 0.000
Lu Cu B Au
1 1 1 1
direct
0.000 0.000 0.000 Lu
0.250 0.250 0.250 Cu
0.750 0.750 0.750 B
0.500 0.500 0.500 Au
```

**Symmetry**: F-43m (216)
**Total moment**: 0.00 μB per formula unit
**Theoretical density**: 12.40 g cm⁻³

Of them, run two has the highest stability.

Run one
CuNiBAu | PBE | relaxed

POSCAR file:
```
CuNiBAu
1.0
0.000 2.894 2.894
2.894 0.000 2.894
2.894 2.894 0.000
Cu Ni B Au
1 1 1 1
direct
0.000 0.000 0.000 Cu
0.500 0.500 0.500 Ni
0.750 0.750 0.750 B
0.250 0.250 0.250 Au
```

**Symmetry**: F-43m (216)
**Total moment**: 0.00 μB per formula unit
**Theoretical density**: 11.30 g cm⁻³

Run two
CuNiBAu | PBE | relaxed

POSCAR file:
```
CuNiBAu
1.0
0.000 2.873 2.873
2.873 0.000 2.873
2.873 2.873 0.000
Cu Ni B Au
1 1 1 1
direct
0.000 0.000 0.000 Cu
0.250 0.250 0.250 Ni
0.750 0.750 0.750 B
0.500 0.500 0.500 Au
```

**Symmetry**: F-43m (216)
**Total moment**: 0.00 μB per formula unit
**Theoretical density**: 11.55 g cm⁻³

Of them, run two has the highest stability.

Run one
ScCuBAu | PBE | relaxed

POSCAR file:
```
ScCuBAu
1.0
0.000 3.031 3.031
3.031 0.000 3.031
3.031 3.031 0.000
Sc Cu B Au
1 1 1 1
direct
0.000 0.000 0.000 Sc
0.250 0.250 0.250 Cu
0.750 0.750 0.750 B
0.500 0.500 0.500 Au
```

**Symmetry**: F-43m (216)
**Total moment**: 0.00 μB per formula unit
**Theoretical density**: 9.43 g cm⁻³

Run two
ScCuBAu | PBE | relaxed

POSCAR file:
```
ScCuBAu
1.0
0.000 3.059 3.059
3.059 0.000 3.059
3.059 3.059 0.000
Sc Cu B Au
1 1 1 1
direct
0.000 0.000 0.000 Sc
0.750 0.750 0.750 Cu
0.500 0.500 0.500 B
0.250 0.250 0.250 Au
```

**Symmetry**: F-43m (216)
**Total moment**: 0.00 μB per formula unit
**Theoretical density**: 9.18 g cm⁻³

Run three
ScCuBAu | PBE | relaxed

POSCAR file:
```
ScCuBAu
1.0
0.000 3.082 3.082
3.082 0.000 3.082
3.082 3.082 0.000
Sc Cu B Au
1 1 1 1
direct
0.000 0.000 0.000 Sc
0.500 0.500 0.500 Cu
0.250 0.250 0.250 B
0.750 0.750 0.750 Au
```

**Symmetry**: F-43m (216)
**Total moment**: 0.00 μB per formula unit
**Theoretical density**: 8.97 g cm⁻³

Of them, run one has the highest stability.

Run one
TaCuBAu | PBE | relaxed

POSCAR file:
```
TaCuBAu
1.0
0.000 3.045 3.045
3.045 0.000 3.045
3.045 3.045 0.000
Ta Cu B Au
1 1 1 1
direct
0.000 0.000 0.000 Ta
0.500 0.500 0.500 Cu
0.250 0.250 0.250 B
0.750 0.750 0.750 Au
```

**Symmetry**: F-43m (216)
**Total moment**: 0.00 μB per formula unit
**Theoretical density**: 13.30 g cm⁻³

Run two
TaCuBAu | PBE | relaxed

POSCAR file:
```
TaCuBAu
1.0
0.000 3.061 3.061
3.061 0.000 3.061
3.061 3.061 0.000
Ta Cu B Au
1 1 1 1
direct
0.000 0.000 0.000 Ta
0.750 0.750 0.750 Cu
0.500 0.500 0.500 B
0.250 0.250 0.250 Au
```

**Symmetry**: F-43m (216)
**Total moment**: 0.00 μB per formula unit
**Theoretical density**: 13.09 g cm⁻³

Of them, run one has the highest stability.

Run one
TlCuBAu | PBE | relaxed

POSCAR file:
```
TlCuBAu
1.0
0.000 3.187 3.187
3.187 0.000 3.187
3.187 3.187 0.000
Tl Cu B Au
1 1 1 1
direct
0.000 0.000 0.000 Tl
0.250 0.250 0.250 Cu
0.750 0.750 0.750 B
0.500 0.500 0.500 Au
```

**Symmetry**: F-43m (216)
**Theoretical density**: 12.20 g cm⁻³

Run two
TlCuBAu | PBE | relaxed

POSCAR file:
```
TlCuBAu
1.0
0.000 3.233 3.233
3.233 0.000 3.233
3.233 3.233 0.000
Tl Cu B Au
1 1 1 1
direct
0.000 0.000 0.000 Tl
0.500 0.500 0.500 Cu
0.250 0.250 0.250 B
0.750 0.750 0.750 Au
```

**Symmetry**: F-43m (216)
**Theoretical density**: 11.68 g cm⁻³

Of them, run one has the highest stability.

Run one
YCuBAu | PBE | relaxed

POSCAR file:
```
YCuBAu
1.0
0.000 3.210 3.210
3.210 0.000 3.210
3.210 3.210 0.000
Y Cu B Au
1 1 1 1
direct
0.000 0.000 0.000 Y
0.250 0.250 0.250 Cu
0.500 0.500 0.500 B
0.750 0.750 0.750 Au
```

**Symmetry**: F-43m (216)
**Total moment**: 0.00 μB per formula unit
**Theoretical density**: 9.04 g cm⁻³

Run two
YCuBAu | PBE | relaxed

POSCAR file:
```
YCuBAu
1.0
0.000 3.152 3.152
3.152 0.000 3.152
3.152 3.152 0.000
Y Cu B Au
1 1 1 1
direct
0.000 0.000 0.000 Y
0.250 0.250 0.250 Cu
0.750 0.750 0.750 B
0.500 0.500 0.500 Au
```

**Symmetry**: F-43m (216)
**Total moment**: 0.00 μB per formula unit
**Theoretical density**: 9.55 g cm⁻³

Of them, run two has the highest stability.

Run one
ZnCuBAu | PBE | relaxed

POSCAR file:
```
ZnCuBAu
1.0
0.000 2.994 2.994
2.994 0.000 2.994
2.994 2.994 0.000
Zn Cu B Au
1 1 1 1
direct
0.000 0.000 0.000 Zn
0.500 0.500 0.500 Cu
0.250 0.250 0.250 B
0.750 0.750 0.750 Au
```

**Symmetry**: F-43m (216)
**Theoretical density**: 10.42 g cm⁻³

Run two
ZnCuBAu | PBE | relaxed

POSCAR file:
```
ZnCuBAu
1.0
0.000 2.956 2.956
2.956 0.000 2.956
2.956 2.956 0.000
Zn Cu B Au
1 1 1 1
direct
0.000 0.000 0.000 Zn
0.750 0.750 0.750 Cu
0.500 0.500 0.500 B
0.250 0.250 0.250 Au
```

**Symmetry**: F-43m (216)
**Theoretical density**: 10.83 g cm⁻³

Of them, run two has the highest stability.